No. 1
A relaxed Nd2Sm2Al crystal, computed with PBE-GGA.

energy: -4.535 eV/atom
N(E_F): 16.474 states/eV per cell
ΔH_f (0 K): 1 kJ per mole of atoms
polymorph energy (0 for the lowest one): 0.0 meV per atom

a = 5.4498 Å, b = 5.4498 Å, c = 12.1617 Å
α = 90.00°, β = 90.00°, γ = 120.00°
Space group P6_3/mmc (No. 194)
Asymmetric unit:
Nd: 0.3333 0.6667 0.0929 x4
Sm: 0.0000 0.0000 0.0000 x2
Sm: 0.3333 0.6667 0.7500 x2
Al: 0.0000 0.0000 0.2500 x2

***

No. 2
A relaxed CoSiPt2 crystal, computed with PBE-GGA.

formation energy from raw total energies: -242 meV per atom
energy: -6.394 eV/atom
N(E_F): 7.451 states/eV per cell

a = 5.387 Å, b = 7.319 Å, c = 2.785 Å
α = 90.00°, β = 90.00°, γ = 90.00°
Space group Cmmm (No. 65)
Asymmetric unit:
Co: 0.000 0.000 0.000 x2
Si: 0.000 0.500 0.000 x2
Pt: 0.250 0.250 0.500 x4

***

No. 3
A relaxed Zr2SiPt crystal, computed with PBE-GGA.

formation energy from raw total energies: -753 meV per atom
energy: -7.893 eV/atom
N(E_F): 5.696 states/eV per cell

a = 3.910 Å, b = 3.910 Å, c = 9.622 Å
α = 90.00°, β = 90.00°, γ = 90.00°
Space group I-4m2 (No. 119)
Asymmetric unit:
Zr: 0.000 0.000 0.000 x2
Zr: 0.000 0.500 0.250 x2
Si: 0.000 0.000 0.500 x2
Pt: 0.000 0.500 0.750 x2

***

No. 4
A relaxed ScRuBr2 crystal, computed with PBE-GGA.

formation energy from raw total energies: -567 meV per atom
energy: -5.306 eV/atom
N(E_F): 3.876 states/eV per cell
polymorph energy (0 for the lowest one): 0.0 meV per atom

a = 14.939 Å, b = 3.464 Å, c = 4.222 Å
α = 90.00°, β = 94.49°, γ = 90.00°
Space group C2/m (No. 12)
Asymmetric unit:
Sc: 0.000 0.000 0.000 x2
Ru: 0.000 0.500 0.500 x2
Br: 0.139 0.500 0.211 x4

***

No. 5
A relaxed Sm4Th crystal, computed with PBE-GGA.

energy: -5.238 eV/atom
N(E_F): 20.611 states/eV per cell
ΔH_f (0 K): 2 kJ per mole of atoms
polymorph energy (0 for the lowest one): 0.0 meV per atom

a = 3.6226 Å, b = 3.6226 Å, c = 44.2019 Å
α = 90.00°, β = 90.00°, γ = 120.00°
Space group R-3m (No. 166, hexagonal axes)
Asymmetric unit:
Sm: 0.0000 0.0000 0.1020 x6
Sm: 0.0000 0.0000 0.3004 x6
Th: 0.0000 0.0000 0.5000 x3

***

No. 6
A relaxed ScZn2As crystal, computed with PBE-GGA.

energy: -3.816 eV/atom
N(E_F): 1.535 states/eV per cell
ΔH_f (0 K): -42 kJ per mole of atoms

a = 3.734 Å, b = 3.643 Å, c = 5.779 Å
α = 90.00°, β = 108.50°, γ = 90.00°
Space group Pm (No. 6)
Asymmetric unit:
Sc: 0.000 0.000 0.000 x1
Zn: 0.315 0.500 0.641 x1
Zn: 0.738 0.000 0.487 x1
As: 0.562 0.500 0.128 x1